This record from Alexandria describes a relaxed Na5I2OF crystal. The functional is PBE-GGA.

a b c (Å): 4.4721 6.8337 8.5054
angles (deg): 113.69 105.24 90.00
Closest atoms and distances in Å follow each position.
Element x y z (fractional)
O (0.5000, 0.0000, 0.0000)  6 Na 2.24-2.30
Na (0.0000, 0.0000, 0.0000)  2 O 2.24
Na (0.3926, 0.1331, 0.7852)  1 O 2.30
Na (0.6074, 0.3479, 0.2148)  1 O 2.30
Na (0.3926, 0.6521, 0.7852)  1 O 2.30
Na (0.6074, 0.8669, 0.2148)  1 O 2.30
I (0.2179, 0.2179, 0.4357)  7 Na 3.15-3.25
I (0.7821, 0.7821, 0.5643)  7 Na 3.15-3.25
F (0.0000, 0.5000, 0.0000)  10 Na 3.27-3.42


This record from Alexandria describes a relaxed Na2IO2F4 crystal. The functional is PBE-GGA.

a b c (Å): 4.7184 6.1605 6.1605
angles (deg): 55.32 72.99 72.99
Closest atoms and distances in Å follow each position.
Element x y z (fractional)
F (0.6794, 0.8030, 0.3448)  1 I 2.05
F (0.3206, 0.1970, 0.6552)  1 I 2.05
F (0.6794, 0.3448, 0.8030)  1 I 2.05
F (0.3206, 0.6552, 0.1970)  1 I 2.05
Na (0.9460, 0.3676, 0.3676)  1 O 2.27, 2 F 2.45
Na (0.0540, 0.6324, 0.6324)  1 O 2.27, 2 F 2.45
O (0.8386, 0.8514, 0.8514)  1 I 1.86
O (0.1614, 0.1486, 0.1486)  1 I 1.86
I (0.5000, 0.0000, 0.0000)  2 O 1.86, 4 F 2.05


| no. | calculated total energy (eV per atom) | formation energy from raw total energies (kJ/mol of formula units) |
| --- | --- | --- |
| 1 | -3.22 | -1205 |
| 2 | -3.93 | -1331 |